Compound: Li2Te2I
Source: Alexandria
Functional: GGA-PBE
Structure: relaxed

POSCAR file:
```
Li2Te2I
1.0
8.8628 0.0000 0.0000
0.0000 8.8628 0.0000
0.0000 0.0000 3.5090
Li Te I
4 4 2
Cartesian
1.2008 3.2306 0.0000
3.2306 7.6620 0.0000
5.6322 1.2008 0.0000
7.6620 5.6322 0.0000
1.5242 5.9556 1.7545
2.9072 1.5242 1.7545
5.9556 7.3386 1.7545
7.3386 2.9072 1.7545
0.0000 0.0000 1.7545
4.4314 4.4314 1.7545
```

Calculated values
* ΔE_f (raw): -0.380 eV/atom
* relative energy among the computed polymorphs: 0.069 eV per atom
* space-group type: P4/mbm
* E_tot: -27.12 eV for the cell shown